A plane-wave DFT calculation with meta-GGA SCAN was carried out for TeAsPb2 at its PBEsol-relaxed geometry.

The value obtained for the volume is 26.60 Å³/atom. The energy above the most stable polymorph in this dataset comes out at 20.2 kJ/mol of atoms.

The structure in extended XYZ format:
```
4
Lattice="-1.862 2.703 5.285 1.862 -2.703 5.285 1.862 2.703 -5.285" Properties=species:S:1:pos:R:3 pbc="T T T"
Te 0.000 0.000 0.000
As 1.862 0.000 2.301
Pb 0.000 0.000 4.676
Pb 0.000 2.703 2.421
```